# 1
## Ba2MgB6O12 (PBE)

Data for a relaxed structure of Ba2MgB6O12.

Unit cell a=7.0299 b=7.0299 c=7.0299 alpha=61.14 beta=61.14 gamma=61.14
Last column: nearest neighbours and their distance in Å.
Atoms (fractional coordinates):
Ba1 0.2092 0.2092 0.2092  9 O 2.78-2.94
Ba2 0.7908 0.7908 0.7908  9 O 2.78-2.94
Mg1 0.0000 0.0000 0.0000  6 O 2.16
B1 0.2446 0.3547 0.6355  3 O 1.33-1.42
B2 0.3547 0.6355 0.2446  3 O 1.33-1.42
B3 0.3645 0.7554 0.6453  3 O 1.33-1.42
B4 0.6355 0.2446 0.3547  3 O 1.33-1.42
B5 0.6453 0.3645 0.7554  3 O 1.33-1.42
B6 0.7554 0.6453 0.3645  3 O 1.33-1.42
O1 0.0860 0.3109 0.8406  1 B 1.33
O2 0.1594 0.9140 0.6891  1 B 1.33
O3 0.1965 0.5727 0.4657  2 B 1.41-1.42
O4 0.3109 0.8406 0.0860  1 B 1.33
O5 0.4273 0.5343 0.8035  2 B 1.41-1.42
O6 0.4657 0.1965 0.5727  2 B 1.41-1.42
O7 0.5343 0.8035 0.4273  2 B 1.41-1.42
O8 0.5727 0.4657 0.1965  2 B 1.41-1.42
O9 0.6891 0.1594 0.9140  1 B 1.33
O10 0.8035 0.4273 0.5343  2 B 1.41-1.42
O11 0.8406 0.0860 0.3109  1 B 1.33
O12 0.9140 0.6891 0.1594  1 B 1.33

E_tot: -7.654 eV/atom
SG: No. 148
spin magnetization: 0.000 μB per cell
raw formation energy: -2.653 eV/atom

# 2
## RbBaMg2B (PBE)

Data for a relaxed structure of RbBaMg2B.

Unit cell a=6.1566 b=6.1566 c=5.3712 alpha=90.00 beta=90.00 gamma=90.00
Last column: nearest neighbours and their distance in Å.
Atoms (fractional coordinates):
Rb1 0.0000 0.0000 0.0000  2 B 2.69
Ba1 0.5000 0.5000 0.5000  8 Mg 4.09, 4 B 4.35
Mg1 0.0000 0.5000 0.0000  2 Rb 3.08
Mg2 0.5000 0.0000 0.0000  2 Rb 3.08
B1 0.0000 0.0000 0.5000  2 Rb 2.69

E_tot: -1.248 eV/atom
SG: No. 123
spin magnetization: 1.270 μB per cell
formation enthalpy at 0 K: 30.1 kcal/mol of atoms

# 3
## BaMgBRu2 (PBE)

Data for a relaxed structure of BaMgBRu2.

Unit cell a=4.4050 b=4.4050 c=4.5571 alpha=90.00 beta=90.00 gamma=90.00
Last column: nearest neighbours and their distance in Å.
Atoms (fractional coordinates):
Ba1 0.0000 0.0000 0.0000  4 Mg 3.11, 8 Ru 3.17
Mg1 0.5000 0.5000 0.0000  2 B 2.28
B1 0.5000 0.5000 0.5000  4 Ru 2.20, 2 Mg 2.28
Ru1 0.0000 0.5000 0.5000  2 B 2.20
Ru2 0.5000 0.0000 0.5000  2 B 2.20

E_tot: -5.404 eV/atom
SG: No. 123
spin magnetization: 0.327 μB per cell
formation enthalpy at 0 K: 8.0 kcal/mol of atoms

Q: Which of these has the lowest E_tot?
A: Ba2MgB6O12

Q: Among the records above, which one has the lowest spin magnetization?
A: Ba2MgB6O12